(1)
Computed, not measured: a relaxed structure of MnCo2Se at the PBE level of DFT.

Geometry as POSCAR:
```
MnCo2Se
1.0
-0.5632 -2.4768 3.4009
2.1102 -1.2385 3.4685
-1.4806 3.0356 2.9458
Co Mn Se
2 1 1
Cartesian
1.5409 -3.7010 6.8506
0.0393 -0.3541 4.9264
0.0166 -0.1699 2.4538
0.0498 -0.5097 7.3614
```

Summary:
The formation energy from raw total energies comes out at 0.18 eV/atom. The energy above the lowest structure with this stoichiometry is 0.0647 eV/atom. The value obtained for the total DFT energy (no corrections) is -6.538 eV per atom. As for the space group: No. 12. For the mass density, the calculation gives 8.09 g/cm³.

(2)
Computed, not measured: a relaxed structure of MnCo2Se at the PBE level of DFT.

Geometry as POSCAR:
```
MnCo2Se
1.0
-1.7280 -0.1003 -2.0861
-1.1810 -0.8132 2.3003
-2.2308 7.4532 1.4896
Co Mn Se
2 1 1
Cartesian
-0.0294 0.0982 0.0196
-1.0860 3.6284 0.7252
-2.0122 1.4066 0.4796
-3.1275 5.1332 1.2244
```

Summary:
The formation energy from raw total energies comes out at 0.42 eV/atom. The energy above the lowest structure with this stoichiometry is 0.3043 eV/atom. The value obtained for the total DFT energy (no corrections) is -6.298 eV per atom. As for the space group: No. 65. For the mass density, the calculation gives 7.71 g/cm³.

(3)
Computed, not measured: a relaxed structure of Mn2CoSe at the PBE level of DFT.

Geometry as POSCAR:
```
Mn2CoSe
1.0
5.1065 0.1510 -0.1138
2.4326 4.4924 0.1138
-3.3914 -2.9355 2.4480
Co Mn Se
1 2 1
Cartesian
1.4474 1.9652 1.2809
0.1913 0.1178 0.0000
2.7438 -0.2305 1.1671
3.5346 2.1770 0.0000
```

Summary:
The formation energy from raw total energies comes out at 0.17 eV/atom. The energy above the lowest structure with this stoichiometry is 0.0808 eV/atom. The value obtained for the total DFT energy (no corrections) is -7.058 eV per atom. As for the space group: No. 44. For the mass density, the calculation gives 7.35 g/cm³.